A plane-wave DFT calculation with GGA-PBE was carried out for a geometry-optimized Cu3NiRu structure.

Cell: 4.2753 4.2753 4.2753 Å, 90.00 90.00 90.00°
Closest atoms and distances in Å follow each position.
Element x y z (fractional)
Cu: 0.0000 0.5000 0.0000  2 Ni 2.14
Cu: 0.0000 0.0000 0.5000  2 Ni 2.14
Cu: 0.5000 0.0000 0.0000  2 Ni 2.14
Ni: 0.0000 0.0000 0.0000  6 Cu 2.14
Ru: 0.5000 0.5000 0.5000  12 Cu 3.02

Values from the calculation:
The calculation puts the density of states at the Fermi level at 10.94 states/eV/f.u. The value obtained for the offset from the most stable computed form is 0.0 kJ/mol of formula units. The value obtained for the formation energy is 1222 meV/atom. The calculated density is 7446 kg/m3. The calculation puts the total magnetic moment at 2.53 μB per formula unit.